This record from Alexandria via LeMat-Bulk describes a geometry-optimized Lu12In3H5 structure. The functional is PBE.

Properties
Calculated total energy: -4.17 eV/atom
Volume: 22.11 Å³/atom
N(E_F): 0.713 states/eV per atom

abc: 13.196 13.196 13.196
angles: 109.47 109.47 109.47
Positions (direct):
Lu 0.011 0.203 0.107
Lu 0.011 0.307 0.904
Lu 0.096 0.607 0.404
Lu 0.096 0.703 0.693
Lu 0.096 0.893 0.404
Lu 0.096 0.989 0.693
Lu 0.107 0.011 0.203
Lu 0.107 0.596 0.904
Lu 0.193 0.203 0.596
Lu 0.193 0.489 0.596
Lu 0.203 0.107 0.011
Lu 0.203 0.596 0.193
Lu 0.297 0.307 0.904
Lu 0.297 0.489 0.393
Lu 0.307 0.904 0.011
Lu 0.307 0.904 0.297
Lu 0.393 0.297 0.489
Lu 0.393 0.596 0.904
Lu 0.404 0.096 0.607
Lu 0.404 0.096 0.893
Lu 0.404 0.807 0.511
Lu 0.404 0.807 0.797
Lu 0.489 0.393 0.297
Lu 0.489 0.596 0.193
Lu 0.511 0.404 0.807
Lu 0.511 0.607 0.703
Lu 0.596 0.193 0.203
Lu 0.596 0.193 0.489
Lu 0.596 0.904 0.107
Lu 0.596 0.904 0.393
Lu 0.607 0.404 0.096
Lu 0.607 0.703 0.511
Lu 0.693 0.096 0.703
Lu 0.693 0.096 0.989
Lu 0.703 0.511 0.607
Lu 0.703 0.693 0.096
Lu 0.797 0.404 0.807
Lu 0.797 0.893 0.989
Lu 0.807 0.511 0.404
Lu 0.807 0.797 0.404
Lu 0.893 0.404 0.096
Lu 0.893 0.989 0.797
Lu 0.904 0.011 0.307
Lu 0.904 0.107 0.596
Lu 0.904 0.297 0.307
Lu 0.904 0.393 0.596
Lu 0.989 0.693 0.096
Lu 0.989 0.797 0.893
In 0.125 0.250 0.375
In 0.125 0.375 0.750
In 0.250 0.375 0.125
In 0.250 0.875 0.625
In 0.375 0.125 0.250
In 0.375 0.750 0.125
In 0.625 0.250 0.875
In 0.625 0.875 0.750
In 0.750 0.125 0.375
In 0.750 0.625 0.875
In 0.875 0.625 0.250
In 0.875 0.750 0.625
H 0.000 0.000 0.000
H 0.000 0.000 0.500
H 0.000 0.500 0.000
H 0.000 0.500 0.500
H 0.125 0.750 0.875
H 0.125 0.875 0.250
H 0.250 0.125 0.875
H 0.250 0.625 0.375
H 0.375 0.250 0.625
H 0.375 0.625 0.750
H 0.500 0.000 0.000
H 0.500 0.000 0.500
H 0.500 0.500 0.000
H 0.500 0.500 0.500
H 0.625 0.375 0.250
H 0.625 0.750 0.375
H 0.750 0.375 0.625
H 0.750 0.875 0.125
H 0.875 0.125 0.750
H 0.875 0.250 0.125



This record from Alexandria via LeMat-Bulk describes a geometry-optimized Mg2InH2 structure. The functional is PBE.

Properties
Calculated total energy: -2.63 eV/atom
Volume: 14.41 Å³/atom
N(E_F): 0.181 states/eV per atom

abc: 7.091 7.091 7.091
angles: 153.26 153.26 38.18
Positions (direct):
Mg 0.163 0.163 0.000
Mg 0.837 0.837 0.000
In 0.500 0.500 0.000
H 0.250 0.750 0.500
H 0.750 0.250 0.500



This record from Alexandria via LeMat-Bulk describes a geometry-optimized Mg4In2H structure. The functional is PBE.

Properties
Calculated total energy: -2.22 eV/atom
Volume: 20.43 Å³/atom
N(E_F): 0.438 states/eV per atom

abc: 8.502 6.303 10.676
angles: 90.00 90.00 90.00
Positions (direct):
Mg 0.044 0.250 0.123
Mg 0.111 0.000 0.645
Mg 0.111 0.500 0.645
Mg 0.231 0.750 0.390
Mg 0.269 0.250 0.890
Mg 0.389 0.000 0.145
Mg 0.389 0.500 0.145
Mg 0.456 0.750 0.623
Mg 0.544 0.250 0.377
Mg 0.611 0.000 0.855
Mg 0.611 0.500 0.855
Mg 0.731 0.750 0.110
Mg 0.769 0.250 0.610
Mg 0.889 0.000 0.355
Mg 0.889 0.500 0.355
Mg 0.956 0.750 0.877
In 0.080 0.750 0.142
In 0.192 0.250 0.392
In 0.308 0.750 0.892
In 0.420 0.250 0.642
In 0.580 0.750 0.358
In 0.692 0.250 0.108
In 0.808 0.750 0.608
In 0.920 0.250 0.858
H 0.230 0.750 0.573
H 0.270 0.250 0.073
H 0.730 0.750 0.927
H 0.770 0.250 0.427



This record from Alexandria via LeMat-Bulk describes a geometry-optimized Mg2InH2 structure. The functional is PBE.

Properties
Calculated total energy: -2.25 eV/atom
Volume: 15.16 Å³/atom
N(E_F): 0.330 states/eV per atom

abc: 7.150 7.150 2.966
angles: 90.00 90.00 90.00
Positions (direct):
Mg 0.140 0.360 0.000
Mg 0.360 0.860 0.000
Mg 0.640 0.140 0.000
Mg 0.860 0.640 0.000
In 0.000 0.000 0.500
In 0.500 0.500 0.500
H 0.105 0.605 0.500
H 0.395 0.105 0.500
H 0.605 0.895 0.500
H 0.895 0.395 0.500



This record from Alexandria via LeMat-Bulk describes a geometry-optimized Mg3InH structure. The functional is PBE.

Properties
Calculated total energy: -1.59 eV/atom
Volume: 30.63 Å³/atom
N(E_F): 0.000 states/eV per atom

abc: 5.350 5.350 5.350
angles: 90.00 90.00 90.00
Positions (direct):
Mg 0.000 0.000 0.500
Mg 0.000 0.500 0.000
Mg 0.500 0.000 0.000
In 0.000 0.000 0.000
H 0.500 0.500 0.500



This record from Alexandria via LeMat-Bulk describes a geometry-optimized MgInH structure. The functional is PBE.

Properties
Calculated total energy: -2.49 eV/atom
Volume: 17.42 Å³/atom
N(E_F): 0.602 states/eV per atom

abc: 3.295 3.295 5.556
angles: 90.00 90.00 120.00
Positions (direct):
Mg 0.000 0.000 0.000
In 0.333 0.667 0.507
H 0.667 0.333 0.021



This record from Alexandria via LeMat-Bulk describes a geometry-optimized Mg2In2H structure. The functional is PBE.

Properties
Calculated total energy: -1.90 eV/atom
Volume: 24.45 Å³/atom
N(E_F): 0.470 states/eV per atom

abc: 8.274 8.274 8.274
angles: 152.29 152.29 39.60
Positions (direct):
Mg 0.250 0.750 0.500
Mg 0.750 0.250 0.500
In 0.092 0.092 0.000
In 0.908 0.908 0.000
H 0.500 0.500 0.000



This record from Alexandria via LeMat-Bulk describes a geometry-optimized MgInH structure. The functional is PBE.

Properties
Calculated total energy: -2.63 eV/atom
Volume: 16.48 Å³/atom
N(E_F): 0.141 states/eV per atom

abc: 3.373 3.373 8.692
angles: 90.00 90.00 90.00
Positions (direct):
Mg 0.250 0.250 0.130
Mg 0.750 0.750 0.870
In 0.250 0.250 0.627
In 0.750 0.750 0.373
H 0.250 0.750 0.000
H 0.750 0.250 0.000



This record from Alexandria via LeMat-Bulk describes a geometry-optimized Mg2In2H structure. The functional is PBE.

Properties
Calculated total energy: -2.20 eV/atom
Volume: 21.21 Å³/atom
N(E_F): 0.176 states/eV per atom

abc: 6.423 6.423 5.140
angles: 90.00 90.00 90.00
Positions (direct):
Mg 0.165 0.335 0.000
Mg 0.335 0.835 0.000
Mg 0.665 0.165 0.000
Mg 0.835 0.665 0.000
In 0.169 0.669 0.500
In 0.331 0.169 0.500
In 0.669 0.831 0.500
In 0.831 0.331 0.500
H 0.000 0.000 0.500
H 0.500 0.500 0.500



This record from Alexandria via LeMat-Bulk describes a geometry-optimized Mg5In3H12 structure. The functional is PBE.

Properties
Calculated total energy: -2.71 eV/atom
Volume: 13.61 Å³/atom
N(E_F): 0.291 states/eV per atom

abc: 11.225 11.225 11.225
angles: 109.47 109.47 109.47
Positions (direct):
Mg 0.000 0.000 0.000
Mg 0.000 0.000 0.500
Mg 0.000 0.500 0.000
Mg 0.000 0.500 0.500
Mg 0.125 0.750 0.875
Mg 0.125 0.875 0.250
Mg 0.250 0.125 0.875
Mg 0.250 0.625 0.375
Mg 0.375 0.250 0.625
Mg 0.375 0.625 0.750
Mg 0.500 0.000 0.000
Mg 0.500 0.000 0.500
Mg 0.500 0.500 0.000
Mg 0.500 0.500 0.500
Mg 0.625 0.375 0.250
Mg 0.625 0.750 0.375
Mg 0.750 0.375 0.625
Mg 0.750 0.875 0.125
Mg 0.875 0.125 0.750
Mg 0.875 0.250 0.125
In 0.125 0.250 0.375
In 0.125 0.375 0.750
In 0.250 0.375 0.125
In 0.250 0.875 0.625
In 0.375 0.125 0.250
In 0.375 0.750 0.125
In 0.625 0.250 0.875
In 0.625 0.875 0.750
In 0.750 0.125 0.375
In 0.750 0.625 0.875
In 0.875 0.625 0.250
In 0.875 0.750 0.625
H 0.003 0.183 0.105
H 0.003 0.320 0.898
H 0.078 0.683 0.680
H 0.078 0.895 0.398
H 0.102 0.605 0.422
H 0.102 0.997 0.680
H 0.105 0.003 0.183
H 0.105 0.602 0.922
H 0.180 0.183 0.578
H 0.180 0.497 0.602
H 0.183 0.105 0.003
H 0.183 0.578 0.180
H 0.317 0.320 0.922
H 0.317 0.497 0.395
H 0.320 0.898 0.003
H 0.320 0.922 0.317
H 0.395 0.317 0.497
H 0.395 0.578 0.898
H 0.398 0.078 0.895
H 0.398 0.820 0.503
H 0.422 0.102 0.605
H 0.422 0.820 0.817
H 0.497 0.395 0.317
H 0.497 0.602 0.180
H 0.503 0.398 0.820
H 0.503 0.605 0.683
H 0.578 0.180 0.183
H 0.578 0.898 0.395
H 0.602 0.180 0.497
H 0.602 0.922 0.105
H 0.605 0.422 0.102
H 0.605 0.683 0.503
H 0.680 0.078 0.683
H 0.680 0.102 0.997
H 0.683 0.503 0.605
H 0.683 0.680 0.078
H 0.817 0.422 0.820
H 0.817 0.895 0.997
H 0.820 0.503 0.398
H 0.820 0.817 0.422
H 0.895 0.398 0.078
H 0.895 0.997 0.817
H 0.898 0.003 0.320
H 0.898 0.395 0.578
H 0.922 0.105 0.602
H 0.922 0.317 0.320
H 0.997 0.680 0.102
H 0.997 0.817 0.895



This record from Alexandria via LeMat-Bulk describes a geometry-optimized MgInH3 structure. The functional is PBE.

Properties
Calculated total energy: -2.75 eV/atom
Volume: 12.71 Å³/atom
N(E_F): 0.001 states/eV per atom

abc: 3.990 3.990 3.990
angles: 90.00 90.00 90.00
Positions (direct):
Mg 0.000 0.000 0.000
In 0.500 0.500 0.500
H 0.000 0.000 0.500
H 0.000 0.500 0.000
H 0.500 0.000 0.000



This record from Alexandria via LeMat-Bulk describes a geometry-optimized MgIn2H structure. The functional is PBE.

Properties
Calculated total energy: -2.31 eV/atom
Volume: 23.41 Å³/atom
N(E_F): 0.181 states/eV per atom

abc: 7.479 7.479 7.479
angles: 137.71 137.71 61.35
Positions (direct):
Mg 0.000 0.000 0.000
Mg 0.750 0.250 0.500
In 0.255 0.625 0.130
In 0.375 0.505 0.630
In 0.495 0.125 0.870
In 0.875 0.745 0.370
H 0.250 0.750 0.500
H 0.500 0.500 0.000



no.,magnetization (μB/cell)
1,0.000
2,0.000
3,0.000
4,0.000
5,0.000
6,0.000
7,0.000
8,0.000
9,0.000
10,0.000
11,0.000
12,0.000